NaScZnTe3, relaxed, DFT GGA-PBE; space-group type = P2_1/m
1.0
8.779 0.000 0.000
0.000 4.217 0.000
-2.938 0.000 9.773
Na Sc Zn Te
2 2 2 6
Cartesian
1.111 1.054 2.244
4.729 3.163 7.529
0.379 3.163 8.362
5.461 1.054 1.412
-1.041 1.054 5.868
6.881 3.163 3.906
-1.703 1.054 8.414
0.529 3.163 5.259
3.430 3.163 1.510
2.410 1.054 8.264
5.312 1.054 4.514
7.543 3.163 1.359

---

Na3ZrSc2Te6, relaxed, DFT GGA-PBE; space-group type = C2/m
1.0
3.629 -6.284 0.000
3.629 6.284 0.000
-2.422 0.000 7.632
Na Zr Sc Te
3 1 2 6
Cartesian
0.000 0.000 0.000
3.629 2.090 0.000
3.629 -2.090 0.000
2.418 0.000 3.816
2.418 4.189 3.816
2.418 -4.189 3.816
1.209 2.093 2.116
0.000 0.000 5.515
1.209 -2.093 2.116
3.626 2.093 5.516
4.836 0.000 2.117
3.626 -2.093 5.516

---

Na4ZrSc3Te8, relaxed, DFT GGA-PBE; space-group type = R-3m
1.0
4.205 2.428 7.594
-4.205 2.428 7.594
0.000 -4.855 7.594
Na Zr Sc Te
4 1 3 8
Cartesian
0.000 0.000 0.000
-2.102 -1.214 7.594
-2.102 1.214 15.188
0.000 2.428 7.594
0.000 0.000 11.391
-4.205 0.000 11.391
-2.102 1.214 3.797
2.102 1.214 3.797
0.000 0.000 5.477
-2.102 -1.214 13.080
0.000 -2.427 9.702
-2.102 1.214 9.702
2.102 -1.214 13.080
0.000 2.427 13.080
2.102 1.214 9.702
0.000 0.000 17.304

---

Na3Zr2ScTe6, relaxed, DFT GGA-PBE; space-group type = C2/m
1.0
3.584 -6.205 0.000
3.584 6.205 0.000
-2.389 0.000 7.750
Na Zr Sc Te
3 2 1 6
Cartesian
0.000 0.000 0.000
3.584 2.081 0.000
3.584 -2.081 0.000
2.389 4.144 3.875
2.389 -4.144 3.875
2.389 0.000 3.875
1.198 2.066 2.138
0.007 0.000 5.619
1.198 -2.066 2.138
3.581 2.066 5.613
4.772 0.000 2.132
3.581 -2.066 5.613

---

Summary of E_form (uncorrected) in meV per atom
-896.8, -1083.2, -1111.4, -991.2
(order as listed above)
Summary of calculated volume in Å³ per atom
30.15, 29.01, 29.07, 28.73
(order as listed above)